{
  "formula": "RhSe2Cl",
  "functional": "GGA-PBE",
  "state": "optimized geometry",
  "cell": [[3.462, 0.000, 0.000], [0.000, 4.530, 0.000], [0.000, 0.000, 11.915]],
  "species": ["Rh", "Rh", "Se", "Se", "Se", "Se", "Cl", "Cl"],
  "frac_coords": [[0.000, 0.000, 0.000], [0.500, 0.500, 0.500], [0.000, 0.000, 0.534], [0.000, 0.500, 0.641], [0.500, 0.000, 0.141], [0.500, 0.500, 0.034], [0.000, 0.500, 0.344], [0.500, 0.000, 0.844]],
  "magmom_total_mub_per_atom": 0.000,
  "energy_ev_per_atom": -4.18,
  "polymorph_energy_ev_per_atom": 0.200,
  "spacegroup": "Imm2, No. 44",
  "formation_energy_uncorrected_ev_per_atom": -0.140,
  "dos_ef_per_ev_cell": 2.80
}

{
  "formula": "CsNi2C",
  "functional": "GGA-PBE",
  "state": "optimized geometry",
  "cell": [[5.870, 0.000, 0.000], [0.000, 5.870, 0.000], [0.000, 0.000, 8.992]],
  "species": ["Cs", "Cs", "Cs", "Cs", "Ni", "Ni", "Ni", "Ni", "Ni", "Ni", "Ni", "Ni", "C", "C", "C", "C"],
  "frac_coords": [[0.000, 0.250, 0.375], [0.000, 0.750, 0.625], [0.500, 0.250, 0.125], [0.500, 0.750, 0.875], [0.000, 0.000, 0.000], [0.000, 0.500, 0.000], [0.250, 0.250, 0.750], [0.250, 0.750, 0.250], [0.500, 0.000, 0.500], [0.500, 0.500, 0.500], [0.750, 0.250, 0.750], [0.750, 0.750, 0.250], [0.000, 0.250, 0.875], [0.000, 0.750, 0.125], [0.500, 0.250, 0.625], [0.500, 0.750, 0.375]],
  "magmom_total_mub_per_atom": 0.000,
  "energy_ev_per_atom": -4.88,
  "polymorph_energy_ev_per_atom": 0.000,
  "spacegroup": "I4_1/amd, No. 141",
  "dos_ef_per_ev_cell": 17.73,
  "delta_e_f_ev_per_atom": 0.534
}

{
  "formula": "Dy2Ga3GePt4",
  "functional": "GGA-PBE",
  "state": "optimized geometry",
  "cell": [[4.154, 0.000, 0.000], [0.000, 4.154, 0.000], [0.000, 0.000, 10.788]],
  "species": ["Dy", "Dy", "Ga", "Ga", "Ga", "Ge", "Pt", "Pt", "Pt", "Pt"],
  "frac_coords": [[0.000, 0.500, 0.245], [0.500, 0.000, 0.755], [0.000, 0.000, 0.000], [0.000, 0.500, 0.636], [0.500, 0.000, 0.364], [0.500, 0.500, 0.000], [0.000, 0.000, 0.500], [0.000, 0.500, 0.863], [0.500, 0.000, 0.137], [0.500, 0.500, 0.500]],
  "magmom_total_mub_per_atom": 0.000,
  "energy_ev_per_atom": -5.64,
  "spacegroup": "P-4m2, No. 115",
  "dos_ef_per_ev_cell": 2.71,
  "delta_e_f_ev_per_atom": -0.937
}

{
  "formula": "BaFe2Ru",
  "functional": "GGA-PBE",
  "state": "optimized geometry",
  "cell": [[3.264, 0.000, 0.000], [0.000, 3.264, 0.000], [0.000, 0.000, 7.412]],
  "species": ["Ba", "Fe", "Fe", "Ru"],
  "frac_coords": [[0.000, 0.000, 0.000], [0.500, 0.500, 0.346], [0.500, 0.500, 0.654], [0.000, 0.000, 0.500]],
  "magmom_total_mub_per_atom": 1.421,
  "energy_ev_per_atom": -6.44,
  "spacegroup": "P4/mmm, No. 123",
  "dos_ef_per_ev_cell": 5.13,
  "delta_e_f_ev_per_atom": 0.588
}

{
  "formula": "Ho8In3Sb2",
  "functional": "GGA-PBE",
  "state": "optimized geometry",
  "cell": [[4.333, -8.038, 0.000], [4.333, 8.038, 0.000], [0.000, 0.000, 5.444]],
  "species": ["Ho", "Ho", "Ho", "Ho", "Ho", "Ho", "Ho", "Ho", "In", "In", "In", "Sb", "Sb"],
  "frac_coords": [[0.107, 0.893, 0.000], [0.176, 0.409, 0.500], [0.317, 0.683, 0.000], [0.409, 0.176, 0.500], [0.591, 0.824, 0.500], [0.683, 0.317, 0.000], [0.824, 0.591, 0.500], [0.893, 0.107, 0.000], [0.000, 0.000, 0.500], [0.322, 0.322, 0.000], [0.678, 0.678, 0.000], [0.225, 0.775, 0.500], [0.775, 0.225, 0.500]],
  "magmom_total_mub_per_atom": 0.000,
  "energy_ev_per_atom": -4.44,
  "spacegroup": "Cmmm, No. 65",
  "formation_energy_uncorrected_ev_per_atom": -0.355,
  "dos_ef_per_ev_cell": 10.37
}

{
  "formula": "PuZn6Ga2",
  "functional": "GGA-PBE",
  "state": "optimized geometry",
  "cell": [[4.090, 0.000, 0.000], [0.000, 4.090, 0.000], [0.000, 0.000, 9.163]],
  "species": ["Pu", "Zn", "Zn", "Zn", "Zn", "Zn", "Zn", "Ga", "Ga"],
  "frac_coords": [[0.000, 0.000, 0.000], [0.000, 0.000, 0.500], [0.000, 0.500, 0.302], [0.000, 0.500, 0.698], [0.500, 0.000, 0.302], [0.500, 0.000, 0.698], [0.500, 0.500, 0.500], [0.500, 0.500, 0.135], [0.500, 0.500, 0.865]],
  "magmom_total_mub_per_atom": 0.608,
  "energy_ev_per_atom": -3.24,
  "spacegroup": "P4/mmm, No. 123",
  "dos_ef_per_ev_cell": 12.97,
  "delta_e_f_ev_per_atom": -0.127
}

{
  "formula": "Rb2H4Cl",
  "functional": "GGA-PBE",
  "state": "optimized geometry",
  "cell": [[8.471, 0.000, 0.000], [0.000, 8.471, 0.000], [0.000, 0.000, 4.911]],
  "species": ["Rb", "Rb", "Rb", "Rb", "H", "H", "H", "H", "H", "H", "H", "H", "Cl", "Cl"],
  "frac_coords": [[0.192, 0.192, 0.000], [0.308, 0.692, 0.500], [0.692, 0.308, 0.500], [0.808, 0.808, 0.000], [0.027, 0.463, 0.500], [0.037, 0.527, 0.000], [0.463, 0.027, 0.500], [0.473, 0.963, 0.000], [0.527, 0.037, 0.000], [0.537, 0.973, 0.500], [0.963, 0.473, 0.000], [0.973, 0.537, 0.500], [0.000, 0.000, 0.500], [0.500, 0.500, 0.000]],
  "magmom_total_mub_per_atom": 0.000,
  "energy_ev_per_atom": -2.92,
  "spacegroup": "P4_2/mnm, No. 136",
  "dos_ef_per_ev_cell": 3.37
}

{
  "formula": "AgSeO2",
  "functional": "GGA-PBE",
  "state": "optimized geometry",
  "cell": [[9.979, 0.000, 0.000], [0.000, 3.535, 0.000], [-2.383, 0.000, 4.412]],
  "species": ["Ag", "Ag", "Se", "Se", "O", "O", "O", "O"],
  "frac_coords": [[0.000, 0.000, 0.000], [0.500, 0.500, 0.000], [0.209, 0.500, 0.718], [0.709, 0.000, 0.718], [0.128, 0.000, 0.547], [0.164, 0.500, 0.008], [0.628, 0.500, 0.547], [0.664, 0.000, 0.008]],
  "magmom_total_mub_per_atom": 0.000,
  "energy_ev_per_atom": -4.36,
  "spacegroup": "Cm, No. 8",
  "formation_energy_uncorrected_ev_per_atom": -0.296,
  "dos_ef_per_ev_cell": 2.43
}

{
  "formula": "TcP2Au",
  "functional": "GGA-PBE",
  "state": "optimized geometry",
  "cell": [[6.220, 0.000, 0.000], [0.000, 6.220, 0.000], [0.000, 0.000, 6.220]],
  "species": ["Tc", "Tc", "Tc", "Tc", "P", "P", "P", "P", "P", "P", "P", "P", "Au", "Au", "Au", "Au"],
  "frac_coords": [[0.000, 0.000, 0.000], [0.000, 0.500, 0.500], [0.500, 0.000, 0.500], [0.500, 0.500, 0.000], [0.250, 0.250, 0.250], [0.250, 0.250, 0.750], [0.250, 0.750, 0.250], [0.250, 0.750, 0.750], [0.750, 0.250, 0.250], [0.750, 0.250, 0.750], [0.750, 0.750, 0.250], [0.750, 0.750, 0.750], [0.000, 0.000, 0.500], [0.000, 0.500, 0.000], [0.500, 0.000, 0.000], [0.500, 0.500, 0.500]],
  "magmom_total_mub_per_atom": 0.333,
  "energy_ev_per_atom": -5.67,
  "polymorph_energy_ev_per_atom": 0.600,
  "spacegroup": "Fm-3m, No. 225",
  "dos_ef_per_ev_cell": 15.72,
  "delta_e_f_ev_per_atom": 0.448
}

{
  "formula": "Ba2Na",
  "functional": "GGA-PBE",
  "state": "optimized geometry",
  "cell": [[7.629, 0.000, 0.000], [0.000, 4.582, 0.000], [0.000, 0.000, 19.410]],
  "species": ["Ba", "Ba", "Ba", "Ba", "Ba", "Ba", "Ba", "Ba", "Na", "Na", "Na", "Na"],
  "frac_coords": [[0.090, 0.250, 0.189], [0.097, 0.750, 0.391], [0.403, 0.250, 0.891], [0.410, 0.750, 0.689], [0.590, 0.250, 0.311], [0.597, 0.750, 0.109], [0.903, 0.250, 0.609], [0.910, 0.750, 0.811], [0.141, 0.750, 0.022], [0.359, 0.250, 0.522], [0.641, 0.750, 0.478], [0.859, 0.250, 0.978]],
  "magmom_total_mub_per_atom": 0.000,
  "energy_ev_per_atom": -1.68,
  "polymorph_energy_ev_per_atom": 0.025,
  "spacegroup": "Pnma, No. 62",
  "dos_ef_per_ev_cell": 14.62,
  "delta_e_f_ev_per_atom": 0.044
}

{
  "formula": "LaPt2Rh",
  "functional": "GGA-PBE",
  "state": "optimized geometry",
  "cell": [[5.240, 0.000, 0.000], [0.000, 7.033, 0.000], [0.000, 0.000, 4.540]],
  "species": ["La", "La", "Pt", "Pt", "Pt", "Pt", "Rh", "Rh"],
  "frac_coords": [[0.000, 0.000, 0.000], [0.500, 0.500, 0.000], [0.000, 0.302, 0.500], [0.000, 0.698, 0.500], [0.500, 0.198, 0.500], [0.500, 0.802, 0.500], [0.000, 0.500, 0.000], [0.500, 0.000, 0.000]],
  "magmom_total_mub_per_atom": 0.000,
  "energy_ev_per_atom": -6.61,
  "spacegroup": "Cmmm, No. 65",
  "dos_ef_per_ev_cell": 5.18,
  "delta_e_f_ev_per_atom": -0.516
}

{
  "formula": "SnSbPb",
  "functional": "GGA-PBE",
  "state": "optimized geometry",
  "cell": [[7.460, 0.000, 0.000], [0.000, 7.460, 0.000], [0.000, 0.000, 7.460]],
  "species": ["Sn", "Sn", "Sn", "Sn", "Sb", "Sb", "Sb", "Sb", "Pb", "Pb", "Pb", "Pb"],
  "frac_coords": [[0.000, 0.000, 0.000], [0.000, 0.500, 0.500], [0.500, 0.000, 0.500], [0.500, 0.500, 0.000], [0.250, 0.250, 0.750], [0.250, 0.750, 0.250], [0.750, 0.250, 0.250], [0.750, 0.750, 0.750], [0.000, 0.000, 0.500], [0.000, 0.500, 0.000], [0.500, 0.000, 0.000], [0.500, 0.500, 0.500]],
  "magmom_total_mub_per_atom": 0.000,
  "energy_ev_per_atom": -3.78,
  "polymorph_energy_ev_per_atom": 0.106,
  "spacegroup": "F-43m, No. 216",
  "formation_energy_uncorrected_ev_per_atom": 0.161,
  "dos_ef_per_ev_cell": 8.33
}